A plane-wave DFT calculation with PBE-GGA was carried out for an optimized crystal structure of Cr3InIr.

Output
Offset from the most stable computed form in eV per atom: 0.000
ΔE_f in eV/atom: 1.0305

Structure (CIF):
```
data_Cr3InIr
_chemical_formula_sum 'Cr3 In1 Ir1'
_symmetry_space_group_name_H-M 'P m -3 m'
_symmetry_Int_Tables_number 221
_symmetry_space_group_name_Hall '-P 4 2 3'
_cell_length_a 4.7835
_cell_length_b 4.7835
_cell_length_c 4.7835
_cell_angle_alpha 90.00
_cell_angle_beta 90.00
_cell_angle_gamma 90.00
loop_
_atom_site_label
_atom_site_fract_x
_atom_site_fract_y
_atom_site_fract_z
_atom_site_occupancy
Cr1 0.0000 0.0000 0.5000 1
In1 0.5000 0.5000 0.5000 1
Ir1 0.0000 0.0000 0.0000 1
```